# 1
Entry from the Alexandria database: SiMoRh2 after structural relaxation (PBEsol).

Results
Its symmetry is P4/mmm (123). The calculation puts the uncorrected energy at -8.619 eV per atom. The formation energy from raw total energies is -66 kJ/mol of formula units. As for the crystal system: tetragonal.

extended XYZ file:
```
4
Lattice="2.7171 0.0000 0.0000 0.0000 4.5063 0.0000 0.0000 0.0000 4.5063" Properties=species:S:1:pos:R:3 pbc="T T T"
Si 1.3586 2.2532 2.2532
Mo 1.3586 0.0000 0.0000
Rh 0.0000 0.0000 2.2532
Rh 0.0000 2.2532 0.0000
```

=====

# 2
Entry from the Alexandria database: Si2MoRh after structural relaxation (PBEsol).

Results
Its symmetry is P4mm (99). The calculation puts the uncorrected energy at -8.309 eV per atom. The formation energy from raw total energies is -177 kJ/mol of formula units. As for the crystal system: tetragonal.

extended XYZ file:
```
4
Lattice="-0.6961 0.9194 2.9497 2.3972 -1.7468 1.1102 3.3314 4.2329 -0.5332" Properties=species:S:1:pos:R:3 pbc="T T T"
Si 1.7015 0.6675 1.8938
Mo 1.5386 1.9550 -0.2463
Rh 3.5026 2.9560 1.6055
Si 3.2868 4.1763 -0.5261
```

=====

# 3
Entry from the Alexandria database: Si4MoRh after structural relaxation (PBEsol).

Results
Its symmetry is F-43m (216). The calculation puts the uncorrected energy at -6.947 eV per atom. The formation energy from raw total energies is 117 kJ/mol of formula units. As for the crystal system: cubic.

extended XYZ file:
```
6
Lattice="-0.3570 4.6482 -1.1233 -0.0972 1.3547 -4.5990 -4.0551 1.6997 -1.9137" Properties=species:S:1:pos:R:3 pbc="T T T"
Rh 0.0000 0.0000 0.0000
Si -1.6902 2.8871 -2.8621
Si -3.7206 3.7382 -3.8203
Mo -3.3820 5.7770 -5.7269
Si -1.8689 5.2145 -3.4245
Si -1.7388 3.5654 -5.1648
```

=====

# 4
Entry from the Alexandria database: SiMoRh2 after structural relaxation (PBEsol).

Results
Its symmetry is I-4m2 (119). The calculation puts the uncorrected energy at -8.786 eV per atom. The formation energy from raw total energies is -131 kJ/mol of formula units. As for the crystal system: tetragonal.

extended XYZ file:
```
4
Lattice="-1.5071 -2.3977 2.5341 -2.2955 -1.3971 -2.6871 4.4993 -0.6703 -0.8078" Properties=species:S:1:pos:R:3 pbc="T T T"
Rh 0.0000 0.0000 0.0000
Si -1.9013 -1.8974 -0.0765
Mo 0.1513 -1.9824 -1.7857
Rh 0.5455 -2.4826 0.8249
```

=====

# 5
Entry from the Alexandria database: SiMoRh2 after structural relaxation (PBEsol).

Results
Its symmetry is P4mm (99). The calculation puts the uncorrected energy at -8.891 eV per atom. The formation energy from raw total energies is -171 kJ/mol of formula units. As for the crystal system: tetragonal.

extended XYZ file:
```
4
Lattice="2.8256 0.0000 0.0000 0.0000 2.8256 0.0000 0.0000 0.0000 6.7774" Properties=species:S:1:pos:R:3 pbc="T T T"
Si 0.0000 0.0000 3.2825
Rh 0.0000 0.0000 6.7050
Mo 1.4128 1.4128 5.0038
Rh 1.4128 1.4128 1.9522
```

=====

# 6
Entry from the Alexandria database: SiMoRh2 after structural relaxation (PBEsol).

Results
Its symmetry is P4/mmm (123). The calculation puts the uncorrected energy at -8.977 eV per atom. The formation energy from raw total energies is -204 kJ/mol of formula units. As for the crystal system: tetragonal.

extended XYZ file:
```
4
Lattice="2.7742 0.0000 0.0000 0.0000 2.7742 0.0000 0.0000 0.0000 6.9420" Properties=species:S:1:pos:R:3 pbc="T T T"
Si 1.3871 1.3871 0.0000
Rh 0.0000 0.0000 1.4622
Mo 1.3871 1.3871 3.4710
Rh 0.0000 0.0000 5.4798
```

=====

Question: Number 1 is which compound?
Answer: SiMoRh2